{"formula": "PmSmY2N4", "functional": "PBE", "state": "optimized geometry", "cell": [[6.1302, 0.0000, 0.0000], [0.0000, 3.5408, 0.0000], [-2.0405, 0.0000, 5.7836]], "species": ["Pm", "Sm", "Y", "Y", "N", "N", "N", "N"], "frac_coords": [[0.0000, 0.0000, 0.0000], [0.5000, 0.5000, 0.0000], [0.0000, 0.5000, 0.5000], [0.5000, 0.0000, 0.5000], [0.2485, 0.0000, 0.7435], [0.2530, 0.5000, 0.2571], [0.7470, 0.5000, 0.7429], [0.7515, 0.0000, 0.2565]], "formation_energy_uncorrected_mev_per_atom": -1567, "space_group": "P2/m, No. 10"}

{"formula": "UFeSn", "functional": "PBE", "state": "optimized geometry", "cell": [[0.0000, 3.1760, 3.1760], [3.1760, 0.0000, 3.1760], [3.1760, 3.1760, 0.0000]], "species": ["U", "Fe", "Sn"], "frac_coords": [[0.0000, 0.0000, 0.0000], [0.2500, 0.2500, 0.2500], [0.5000, 0.5000, 0.5000]], "formation_energy_mev_per_atom": 43, "space_group": "F-43m, No. 216"}

{"formula": "SrFeP2Ir", "functional": "PBE", "state": "optimized geometry", "cell": [[-1.9530, 1.9530, 5.8784], [1.9530, -1.9530, 5.8784], [1.9530, 1.9530, -5.8784]], "species": ["Sr", "Fe", "P", "P", "Ir"], "frac_coords": [[0.0000, 0.0000, 0.0000], [0.2500, 0.7500, 0.5000], [0.3531, 0.3531, 0.0000], [0.6469, 0.6469, 0.0000], [0.7500, 0.2500, 0.5000]], "formation_energy_mev_per_atom": -824, "space_group": "I-4m2, No. 119"}

{"formula": "ReAs4Os", "functional": "PBE", "state": "optimized geometry", "cell": [[0.0000, 3.7112, 3.7112], [3.7112, 0.0000, 3.7112], [3.7112, 3.7112, 0.0000]], "species": ["Re", "As", "As", "As", "As", "Os"], "frac_coords": [[0.0000, 0.0000, 0.0000], [0.1249, 0.6250, 0.6250], [0.6250, 0.1249, 0.6250], [0.6250, 0.6250, 0.1249], [0.6250, 0.6250, 0.6250], [0.2500, 0.2500, 0.2500]], "formation_energy_mev_per_atom": 1376, "space_group": "F-43m, No. 216"}

Repeat the first record exactly.
{"formula": "PmSmY2N4", "functional": "PBE", "state": "optimized geometry", "cell": [[6.1302, 0.0000, 0.0000], [0.0000, 3.5408, 0.0000], [-2.0405, 0.0000, 5.7836]], "species": ["Pm", "Sm", "Y", "Y", "N", "N", "N", "N"], "frac_coords": [[0.0000, 0.0000, 0.0000], [0.5000, 0.5000, 0.0000], [0.0000, 0.5000, 0.5000], [0.5000, 0.0000, 0.5000], [0.2485, 0.0000, 0.7435], [0.2530, 0.5000, 0.2571], [0.7470, 0.5000, 0.7429], [0.7515, 0.0000, 0.2565]], "formation_energy_uncorrected_mev_per_atom": -1567, "space_group": "P2/m, No. 10"}

Please write out number 2 again, unchanged.
{"formula": "UFeSn", "functional": "PBE", "state": "optimized geometry", "cell": [[0.0000, 3.1760, 3.1760], [3.1760, 0.0000, 3.1760], [3.1760, 3.1760, 0.0000]], "species": ["U", "Fe", "Sn"], "frac_coords": [[0.0000, 0.0000, 0.0000], [0.2500, 0.2500, 0.2500], [0.5000, 0.5000, 0.5000]], "formation_energy_mev_per_atom": 43, "space_group": "F-43m, No. 216"}